## NbOsS3 (PBE)

Data for NbOsS3 after structural relaxation.

The structure in POSCAR format:
```
NbOsS3
1.0
4.769 0.000 0.000
0.000 4.769 0.000
0.000 0.000 4.769
Nb Os S
1 1 3
Direct
0.000 0.000 0.000
0.500 0.500 0.500
0.000 0.500 0.000
0.000 0.000 0.500
0.500 0.000 0.000
```

## Properties
- Energy above the most stable polymorph in this dataset: 181 meV/atom
- Crystal system: cubic
- Space-group type: Pm-3m, No. 221

---

## NbOsS2 (PBE)

Data for NbOsS2 after structural relaxation.

The structure in POSCAR format:
```
NbOsS2
1.0
-4.849 6.404 1.467
-2.232 7.350 2.770
-2.664 7.714 -0.250
Nb Os S
1 1 2
Direct
0.500 0.500 0.500
0.000 0.000 0.000
0.906 0.906 0.906
0.094 0.094 0.094
```

## Properties
- Energy above the most stable polymorph in this dataset: 0 meV/atom
- Crystal system: trigonal
- Space-group type: R-3m, No. 166

---

## NbOsS2 (PBE)

Data for NbOsS2 after structural relaxation.

The structure in POSCAR format:
```
NbOsS2
1.0
0.000 3.046 3.046
3.046 0.000 3.046
3.046 3.046 0.000
Nb Os S
1 1 2
Direct
0.000 0.000 0.000
0.500 0.500 0.500
0.250 0.250 0.250
0.750 0.750 0.750
```

## Properties
- Energy above the most stable polymorph in this dataset: 267 meV/atom
- Crystal system: cubic
- Space-group type: Fm-3m, No. 225

---

## NbOsS4 (PBE)

Data for NbOsS4 after structural relaxation.

The structure in POSCAR format:
```
NbOsS4
1.0
5.867 0.000 0.103
0.000 5.828 0.000
0.015 0.000 6.005
Nb Os S
2 2 8
Direct
0.500 0.000 0.500
0.000 0.500 0.500
0.000 0.000 0.000
0.500 0.500 0.000
0.864 0.631 0.120
0.636 0.131 0.880
0.373 0.369 0.350
0.127 0.869 0.650
0.136 0.369 0.880
0.364 0.869 0.120
0.627 0.631 0.650
0.873 0.131 0.350
```

## Properties
- Crystal system: monoclinic
- Space-group type: P2_1/c, No. 14

---

## NbSn2OsS (PBE)

Data for NbSn2OsS after structural relaxation.

The structure in POSCAR format:
```
NbSn2OsS
1.0
-4.279 2.259 1.832
-2.309 -2.096 -2.806
-0.595 -3.870 3.382
S Nb Os Sn
1 1 1 2
Direct
0.000 0.000 0.000
0.500 0.500 0.500
0.000 0.500 0.000
0.000 0.000 0.500
0.500 0.000 0.000
```

## Properties
- Crystal system: tetragonal
- Space-group type: P4/mmm, No. 123

---

## TiNbOsS2 (PBE)

Data for TiNbOsS2 after structural relaxation.

The structure in POSCAR format:
```
TiNbOsS2
1.0
-4.303 0.110 -1.479
-0.883 -3.998 2.272
-1.210 2.367 3.695
Nb Os S Ti
1 1 2 1
Direct
0.500 0.500 0.500
0.000 0.000 0.000
0.000 0.000 0.500
0.500 0.000 0.000
0.000 0.500 0.000
```

## Properties
- Crystal system: tetragonal
- Space-group type: P4/mmm, No. 123

---

## Nb2SbOs (PBE)

Data for Nb2SbOs after structural relaxation.

The structure in POSCAR format:
```
Nb2SbOs
1.0
-3.838 -0.800 0.634
0.866 -3.858 0.370
-0.154 -1.109 10.113
Sb Nb Os
2 4 2
Direct
0.500 0.500 0.000
0.250 0.750 0.500
0.620 0.125 0.250
0.130 0.625 0.250
0.375 0.380 0.750
0.875 0.870 0.750
0.000 0.000 0.000
0.750 0.250 0.500
```

## Properties
- Crystal system: tetragonal
- Space-group type: I-42d, No. 122

---

## Nb3SbOs (PBE)

Data for Nb3SbOs after structural relaxation.

The structure in POSCAR format:
```
Nb3SbOs
1.0
4.905 0.000 0.000
0.000 4.905 0.000
0.000 0.000 4.905
Sb Nb Os
1 3 1
Direct
0.000 0.000 0.000
0.000 0.500 0.000
0.000 0.000 0.500
0.500 0.000 0.000
0.500 0.500 0.500
```

## Properties
- Energy above the most stable polymorph in this dataset: 1174 meV/atom
- Crystal system: cubic
- Space-group type: Pm-3m, No. 221

---

## NbSb2Os (PBE)

Data for NbSb2Os after structural relaxation.

The structure in POSCAR format:
```
NbSb2Os
1.0
6.397 0.000 0.000
0.000 6.397 0.000
3.198 3.198 5.591
Sb Nb Os
4 2 2
Direct
0.654 0.125 0.250
0.096 0.625 0.250
0.375 0.346 0.750
0.875 0.904 0.750
0.500 0.500 0.000
0.250 0.750 0.500
0.000 0.000 0.000
0.750 0.250 0.500
```

## Properties
- Energy above the most stable polymorph in this dataset: 658 meV/atom
- Crystal system: tetragonal
- Space-group type: I-42d, No. 122

---

## NbSb2Os (PBE)

Data for NbSb2Os after structural relaxation.

The structure in POSCAR format:
```
NbSb2Os
1.0
0.000 3.337 3.337
3.337 0.000 3.337
3.337 3.337 0.000
Sb Nb Os
2 1 1
Direct
0.250 0.250 0.250
0.750 0.750 0.750
0.000 0.000 0.000
0.500 0.500 0.500
```

## Properties
- Energy above the most stable polymorph in this dataset: 0 meV/atom
- Crystal system: cubic
- Space-group type: Fm-3m, No. 225

---

## Nb2SbOs2 (PBE)

Data for Nb2SbOs2 after structural relaxation.

The structure in POSCAR format:
```
Nb2SbOs2
1.0
-0.103 1.074 -7.621
-0.853 -7.576 -1.056
-3.021 0.328 0.087
Sb Nb Os
2 4 4
Direct
0.000 0.000 0.000
0.500 0.500 0.000
0.156 0.656 0.500
0.656 0.844 0.500
0.844 0.344 0.500
0.344 0.156 0.500
0.366 0.866 0.000
0.866 0.634 0.000
0.634 0.134 0.000
0.134 0.366 0.000
```

## Properties
- Crystal system: tetragonal
- Space-group type: P4/mbm, No. 127

---

## Nb3SbOs (PBE)

Data for Nb3SbOs after structural relaxation.

The structure in POSCAR format:
```
Nb3SbOs
1.0
-2.480 -4.204 0.023
3.048 -1.817 -3.352
2.895 -1.689 3.548
Sb Nb Os
1 3 1
Direct
0.500 0.500 0.500
0.000 0.500 0.000
0.000 0.000 0.500
0.500 0.000 0.000
0.000 0.000 0.000
```

## Properties
- Energy above the most stable polymorph in this dataset: 0 meV/atom
- Crystal system: cubic
- Space-group type: Pm-3m, No. 221

---

no.,ΔE_f (raw) (eV per atom),total magnetic moment (μB per formula unit)
1,0.917,4.26
2,-0.255,0.00
3,0.012,0.00
4,-0.378,0.00
5,1.018,0.00
6,0.884,0.00
7,0.526,0.00
8,2.017,0.00
9,0.943,1.43
10,0.285,0.00
11,0.004,0.00
12,0.843,0.00